1.
NpFeCuO5 | PBE with a Hubbard U | relaxed

Geometry as POSCAR:
```
NpFeCuO5
1.0
3.289 -4.988 0.000
3.289 4.988 0.000
-2.570 0.000 7.132
Np Fe Cu O
2 2 2 10
Direct
0.000 0.500 0.000
0.500 0.000 0.500
0.026 0.974 0.750
0.974 0.026 0.250
0.487 0.513 0.750
0.513 0.487 0.250
0.149 0.277 0.130
0.177 0.823 0.250
0.277 0.149 0.630
0.297 0.622 0.924
0.378 0.703 0.576
0.622 0.297 0.424
0.703 0.378 0.076
0.723 0.851 0.370
0.823 0.177 0.750
0.851 0.723 0.870
```

## Properties
Total energy: -7.71 eV per atom
Magnetization: 7.3 μB/cell


2.
NpFe2CuO6 | PBE with a Hubbard U | relaxed

Geometry as POSCAR:
```
NpFe2CuO6
1.0
5.156 -2.791 0.000
5.156 2.791 0.000
-2.124 0.000 4.550
Np Fe Cu O
1 2 1 6
Direct
0.000 0.000 0.000
0.245 0.245 0.638
0.755 0.755 0.362
0.500 0.500 0.500
0.166 0.640 0.643
0.176 0.176 0.957
0.360 0.834 0.357
0.640 0.166 0.643
0.824 0.824 0.043
0.834 0.360 0.357
```

## Properties
Total energy: -7.57 eV per atom
Magnetization: 9.9 μB/cell